Record 1
# RhBr2Cl PBE optimized geometry
data_RhBr2Cl
_chemical_formula_sum 'Rh1 Br2 Cl1'
_cell_length_a 3.8763
_cell_length_b 3.8763
_cell_length_c 10.3397
_cell_angle_alpha 90.00
_cell_angle_beta 90.00
_cell_angle_gamma 130.29
_space_group_name_H-M_alt 'P 1'
_space_group_IT_number 1
_space_group_name_Hall 'P 1'
loop_
_atom_site_label
_atom_site_type_symbol
_atom_site_fract_x
_atom_site_fract_y
_atom_site_fract_z
Br1 Br 0.0000 0.0000 0.9208
Br2 Br 0.5000 0.5000 0.2480
Rh1 Rh 0.5000 0.5000 0.7456
Cl1 Cl 0.0000 0.0000 0.5857
# uncorrected formation energy: 0.29 eV/f.u.
# relative energy among the computed polymorphs: 411.0 meV per atom

Record 2
# RhBrCl2 PBE optimized geometry
data_RhBrCl2
_chemical_formula_sum 'Rh1 Br1 Cl2'
_cell_length_a 6.7341
_cell_length_b 6.7341
_cell_length_c 6.7341
_cell_angle_alpha 152.92
_cell_angle_beta 133.41
_cell_angle_gamma 54.72
_space_group_name_H-M_alt 'P 1'
_space_group_IT_number 1
_space_group_name_Hall 'P 1'
loop_
_atom_site_label
_atom_site_type_symbol
_atom_site_fract_x
_atom_site_fract_y
_atom_site_fract_z
Br1 Br 0.2500 0.7500 0.5000
Cl1 Cl 0.8982 0.8982 0.0000
Cl2 Cl 0.6018 0.6018 0.0000
Rh1 Rh 0.7500 0.2500 0.5000
# uncorrected formation energy: -0.27 eV/f.u.
# relative energy among the computed polymorphs: 343.7 meV per atom

Record 3
# RhBrCl2 PBE optimized geometry
data_RhBrCl2
_chemical_formula_sum 'Rh1 Br1 Cl2'
_cell_length_a 3.1657
_cell_length_b 3.1657
_cell_length_c 9.0298
_cell_angle_alpha 90.00
_cell_angle_beta 90.00
_cell_angle_gamma 90.00
_space_group_name_H-M_alt 'P 1'
_space_group_IT_number 1
_space_group_name_Hall 'P 1'
loop_
_atom_site_label
_atom_site_type_symbol
_atom_site_fract_x
_atom_site_fract_y
_atom_site_fract_z
Br1 Br 0.5000 0.5000 0.6738
Rh1 Rh 0.0000 0.0000 0.5081
Cl1 Cl 0.5000 0.5000 0.3369
Cl2 Cl 0.0000 0.0000 0.9813
# uncorrected formation energy: 1.48 eV/f.u.
# relative energy among the computed polymorphs: 780.0 meV per atom

Record 4
# RhBrCl2 PBE optimized geometry
data_RhBrCl2
_chemical_formula_sum 'Rh1 Br1 Cl2'
_cell_length_a 3.8280
_cell_length_b 3.8280
_cell_length_c 9.1845
_cell_angle_alpha 90.00
_cell_angle_beta 90.00
_cell_angle_gamma 125.94
_space_group_name_H-M_alt 'P 1'
_space_group_IT_number 1
_space_group_name_Hall 'P 1'
loop_
_atom_site_label
_atom_site_type_symbol
_atom_site_fract_x
_atom_site_fract_y
_atom_site_fract_z
Br1 Br 0.5000 0.5000 0.6838
Cl1 Cl 0.0000 0.0000 0.9897
Cl2 Cl 0.5000 0.5000 0.3277
Rh1 Rh 0.0000 0.0000 0.4989
# uncorrected formation energy: 0.46 eV/f.u.
# relative energy among the computed polymorphs: 524.9 meV per atom

Record 5
# Rh2BrCl PBE optimized geometry
data_Rh2BrCl
_chemical_formula_sum 'Rh2 Br1 Cl1'
_cell_length_a 4.0262
_cell_length_b 3.3342
_cell_length_c 5.6600
_cell_angle_alpha 96.45
_cell_angle_beta 90.00
_cell_angle_gamma 90.00
_space_group_name_H-M_alt 'P 1'
_space_group_IT_number 1
_space_group_name_Hall 'P 1'
loop_
_atom_site_label
_atom_site_type_symbol
_atom_site_fract_x
_atom_site_fract_y
_atom_site_fract_z
Br1 Br 0.5000 0.2500 0.2500
Rh1 Rh 0.0000 0.0414 0.9407
Rh2 Rh 0.0000 0.4586 0.5593
Cl1 Cl 0.5000 0.7500 0.7500
# uncorrected formation energy: 1.86 eV/f.u.
# relative energy among the computed polymorphs: 498.4 meV per atom

Record 6
# Sb2RhBrCl PBE optimized geometry
data_Sb2RhBrCl
_chemical_formula_sum 'Sb2 Rh1 Br1 Cl1'
_cell_length_a 5.1435
_cell_length_b 4.9964
_cell_length_c 5.1435
_cell_angle_alpha 90.00
_cell_angle_beta 90.00
_cell_angle_gamma 90.00
_space_group_name_H-M_alt 'P 1'
_space_group_IT_number 1
_space_group_name_Hall 'P 1'
loop_
_atom_site_label
_atom_site_type_symbol
_atom_site_fract_x
_atom_site_fract_y
_atom_site_fract_z
Rh1 Rh 0.0000 0.0000 0.0000
Br1 Br 0.5000 0.5000 0.5000
Cl1 Cl 0.0000 0.5000 0.0000
Sb1 Sb 0.5000 0.0000 0.0000
Sb2 Sb 0.0000 0.0000 0.5000
# uncorrected formation energy: 0.06 eV/f.u.

Record 7
# RhSe2BrCl PBE optimized geometry
data_RhSe2BrCl
_chemical_formula_sum 'Rh1 Se2 Br1 Cl1'
_cell_length_a 4.9925
_cell_length_b 4.9925
_cell_length_c 5.0742
_cell_angle_alpha 90.00
_cell_angle_beta 90.00
_cell_angle_gamma 90.00
_space_group_name_H-M_alt 'P 1'
_space_group_IT_number 1
_space_group_name_Hall 'P 1'
loop_
_atom_site_label
_atom_site_type_symbol
_atom_site_fract_x
_atom_site_fract_y
_atom_site_fract_z
Rh1 Rh 0.5000 0.5000 0.5000
Br1 Br 0.0000 0.0000 0.5000
Se1 Se 0.5000 0.0000 0.0000
Se2 Se 0.0000 0.5000 0.0000
Cl1 Cl 0.0000 0.0000 0.0000
# uncorrected formation energy: 6.32 eV/f.u.
# relative energy among the computed polymorphs: 931.9 meV per atom

Record 8
# RhSeBr2Cl PBE optimized geometry
data_RhSeBr2Cl
_chemical_formula_sum 'Rh1 Se1 Br2 Cl1'
_cell_length_a 5.1661
_cell_length_b 5.1661
_cell_length_c 4.7188
_cell_angle_alpha 90.00
_cell_angle_beta 90.00
_cell_angle_gamma 90.00
_space_group_name_H-M_alt 'P 1'
_space_group_IT_number 1
_space_group_name_Hall 'P 1'
loop_
_atom_site_label
_atom_site_type_symbol
_atom_site_fract_x
_atom_site_fract_y
_atom_site_fract_z
Br1 Br 0.0000 0.5000 0.0000
Br2 Br 0.5000 0.0000 0.0000
Cl1 Cl 0.5000 0.5000 0.5000
Rh1 Rh 0.0000 0.0000 0.0000
Se1 Se 0.0000 0.0000 0.5000
# uncorrected formation energy: 1.22 eV/f.u.
# relative energy among the computed polymorphs: 0.0 meV per atom

Record 9
# RhSe2BrCl PBE optimized geometry
data_RhSe2BrCl
_chemical_formula_sum 'Rh1 Se2 Br1 Cl1'
_cell_length_a 4.8510
_cell_length_b 4.8510
_cell_length_c 5.1654
_cell_angle_alpha 90.00
_cell_angle_beta 90.00
_cell_angle_gamma 90.00
_space_group_name_H-M_alt 'P 1'
_space_group_IT_number 1
_space_group_name_Hall 'P 1'
loop_
_atom_site_label
_atom_site_type_symbol
_atom_site_fract_x
_atom_site_fract_y
_atom_site_fract_z
Cl1 Cl 0.5000 0.5000 0.5000
Rh1 Rh 0.0000 0.0000 0.0000
Br1 Br 0.0000 0.0000 0.5000
Se1 Se 0.0000 0.5000 0.0000
Se2 Se 0.5000 0.0000 0.0000
# uncorrected formation energy: 1.66 eV/f.u.
# relative energy among the computed polymorphs: 0.0 meV per atom

Record 10
# RhSeBr2Cl PBE optimized geometry
data_RhSeBr2Cl
_chemical_formula_sum 'Rh1 Se1 Br2 Cl1'
_cell_length_a 5.1759
_cell_length_b 5.1759
_cell_length_c 5.0647
_cell_angle_alpha 90.00
_cell_angle_beta 90.00
_cell_angle_gamma 90.00
_space_group_name_H-M_alt 'P 1'
_space_group_IT_number 1
_space_group_name_Hall 'P 1'
loop_
_atom_site_label
_atom_site_type_symbol
_atom_site_fract_x
_atom_site_fract_y
_atom_site_fract_z
Br1 Br 0.0000 0.5000 0.0000
Br2 Br 0.5000 0.0000 0.0000
Se1 Se 0.0000 0.0000 0.5000
Rh1 Rh 0.5000 0.5000 0.5000
Cl1 Cl 0.0000 0.0000 0.0000
# uncorrected formation energy: 5.72 eV/f.u.
# relative energy among the computed polymorphs: 901.6 meV per atom

Record 11
# TlRhBr2Cl PBE optimized geometry
data_TlRhBr2Cl
_chemical_formula_sum 'Tl1 Rh1 Br2 Cl1'
_cell_length_a 5.1832
_cell_length_b 5.1832
_cell_length_c 4.8759
_cell_angle_alpha 90.00
_cell_angle_beta 90.00
_cell_angle_gamma 90.00
_space_group_name_H-M_alt 'P 1'
_space_group_IT_number 1
_space_group_name_Hall 'P 1'
loop_
_atom_site_label
_atom_site_type_symbol
_atom_site_fract_x
_atom_site_fract_y
_atom_site_fract_z
Cl1 Cl 0.0000 0.0000 0.5000
Tl1 Tl 0.5000 0.5000 0.5000
Rh1 Rh 0.0000 0.0000 0.0000
Br1 Br 0.0000 0.5000 0.0000
Br2 Br 0.5000 0.0000 0.0000
# uncorrected formation energy: -2.24 eV/f.u.

Record 12
# Ru2Br3Cl4 PBE optimized geometry
data_Ru2Br3Cl4
_chemical_formula_sum 'Ru4 Br6 Cl8'
_cell_length_a 6.6726
_cell_length_b 8.8538
_cell_length_c 8.8538
_cell_angle_alpha 83.07
_cell_angle_beta 72.89
_cell_angle_gamma 72.89
_space_group_name_H-M_alt 'P 1'
_space_group_IT_number 1
_space_group_name_Hall 'P 1'
loop_
_atom_site_label
_atom_site_type_symbol
_atom_site_fract_x
_atom_site_fract_y
_atom_site_fract_z
Cl1 Cl 0.2051 0.2794 0.2229
Cl2 Cl 0.4852 0.9305 0.3503
Cl3 Cl 0.9852 0.3503 0.9305
Cl4 Cl 0.7051 0.2229 0.2794
Cl5 Cl 0.7949 0.7206 0.7771
Cl6 Cl 0.2949 0.7771 0.7206
Cl7 Cl 0.0148 0.6497 0.0695
Cl8 Cl 0.5148 0.0695 0.6497
Ru1 Ru 0.8497 0.4463 0.1972
Ru2 Ru 0.3497 0.1972 0.4463
Ru3 Ru 0.6503 0.8028 0.5537
Ru4 Ru 0.1503 0.5537 0.8028
Br1 Br 0.5096 0.5996 0.1511
Br2 Br 0.0096 0.1511 0.5996
Br3 Br 0.4904 0.4004 0.8489
Br4 Br 0.7500 0.5271 0.4729
Br5 Br 0.2500 0.4729 0.5271
Br6 Br 0.9904 0.8489 0.4004
# uncorrected formation energy: -3.03 eV/f.u.